The following is a DFT calculation (PBEsol) of K2PtF6 after structural relaxation.

## Properties
space-group type = P-3m1
E_form (uncorrected) = -2.161 eV per atom
total magnetic moment = 0.0 μB/f.u.

Lattice parameters (Å, degrees): 4.588 5.766 5.766 120.00 90.00 90.00
Element x y z (fractional)
K 0.718 0.333 0.667
K 0.282 0.667 0.333
Pt 0.000 0.000 0.000
F 0.227 0.165 0.330
F 0.227 0.165 0.835
F 0.227 0.670 0.835
F 0.773 0.835 0.670
F 0.773 0.835 0.165
F 0.773 0.330 0.165